No. 1
SrMg2InAu: relaxed, GGA-PBE.

a b c (Å): 4.512 4.512 12.782
angles (deg): 90.00 90.00 90.00
Space group I4mm (No. 107)
Symmetry-distinct sites (fractional):
Sr: 0.000 0.000 0.000 [2 per cell]
Mg: 0.000 0.500 0.266 [4 per cell]
In: 0.000 0.000 0.613 [2 per cell]
Au: 0.000 0.000 0.392 [2 per cell]

Output
Final energy in eV per atom: -2.611
Crystal system: tetragonal



No. 2
Tb3Mg3InAu2: relaxed, GGA-PBE.

a b c (Å): 7.5258 7.5258 4.3824
angles (deg): 90.00 90.00 120.00
Space group P-62m (No. 189)
Symmetry-distinct sites (fractional):
Tb: 0.0000 0.5753 0.0000 [3 per cell]
Mg: 0.0000 0.2516 0.5000 [3 per cell]
In: 0.0000 0.0000 0.0000 [1 per cell]
Au: 0.3333 0.6667 0.5000 [2 per cell]

Output
Magnetization in μB per formula unit: 0.0
Final energy in eV per atom: -3.634
Crystal system: hexagonal



No. 3
Tb3Mg3In2Au: relaxed, GGA-PBE.

a b c (Å): 7.5417 7.5417 4.5273
angles (deg): 90.00 90.00 120.00
Space group P-62m (No. 189)
Symmetry-distinct sites (fractional):
Tb: 0.0000 0.5916 0.0000 [3 per cell]
Mg: 0.0000 0.2362 0.5000 [3 per cell]
In: 0.3333 0.6667 0.5000 [2 per cell]
Au: 0.0000 0.0000 0.0000 [1 per cell]

Output
Magnetization in μB per formula unit: 0.0
Final energy in eV per atom: -3.539
Crystal system: hexagonal



No. 4
Tm3Mg3InAu2: relaxed, GGA-PBE.

a b c (Å): 7.5496 7.5496 4.2086
angles (deg): 90.00 90.00 120.00
Space group P-62m (No. 189)
Symmetry-distinct sites (fractional):
Tm: 0.0000 0.4220 0.0000 [3 per cell]
Mg: 0.0000 0.7441 0.5000 [3 per cell]
In: 0.0000 0.0000 0.0000 [1 per cell]
Au: 0.3333 0.6667 0.5000 [2 per cell]

Output
Magnetization in μB per formula unit: 0.0
Final energy in eV per atom: -3.572
Crystal system: hexagonal